1.
This record from the Alexandria database describes an optimized crystal structure of MgBH6. The functional is PBE.

a = 4.957 Å, b = 4.987 Å, c = 4.399 Å
α = 90.00°, β = 113.86°, γ = 90.00°
Space group C2/m (No. 12)
Unique sites:
1 Mg 0.000 0.000 0.000 [2 per cell]
2 B 0.000 0.500 0.500 [2 per cell]
3 H 0.099 0.290 0.741 [8 per cell]
4 H 0.244 0.500 0.466 [4 per cell]

## Properties
Total energy (eV per atom): -3.29

=====

2.
This record from the Alexandria database describes an optimized crystal structure of MnCuCl2. The functional is PBE.

a = 3.486 Å, b = 3.309 Å, c = 7.405 Å
α = 90.00°, β = 100.52°, γ = 90.00°
Space group Pm (No. 6)
Unique sites:
1 Mn 0.000 0.000 0.000 [1 per cell]
2 Cu 0.576 0.500 0.168 [1 per cell]
3 Cl 0.220 0.000 0.322 [1 per cell]
4 Cl 0.915 0.500 0.768 [1 per cell]

## Properties
Total energy (eV per atom): -4.60